La4PmDy2Er | GGA-PBE | relaxed

It has space group P2/m (No. 10), with a = 5.9898 Å, b = 5.9817 Å, c = 7.7381 Å, α = 90.00°, β = 90.02° and γ = 90.00°. Symmetry generates all atoms from La at (0.9999, 0.0000, 0.2428), La at (0.4991, 0.5000, 0.7574), Pm at (0.5000, 0.0000, 0.5000), Dy at (0.0000, 0.5000, 0.5000), Dy at (0.5000, 0.0000, 0.0000) and Er at (0.0000, 0.5000, 0.0000).

As for the calculated volume: 34.656 A^3/atom. For the calculated formation energy, the calculation gives 64 kJ/mol of formula units.

---

DyGeAu3 | GGA-PBE | relaxed

It has space group P2_1/m (No. 11), with a = 6.9744 Å, b = 4.3184 Å, c = 7.0182 Å, α = 90.00°, β = 105.35° and γ = 90.00°. Symmetry generates all atoms from Dy at (0.1942, 0.2500, 0.1936), Ge at (0.4495, 0.2500, 0.7646), Au at (0.0456, 0.2500, 0.6581), Au at (0.2579, 0.7500, 0.9091) and Au at (0.3619, 0.7500, 0.5241).

As for the calculated volume: 20.383 A^3/atom. For the calculated formation energy, the calculation gives -243 kJ/mol of formula units.

---

Ce2Pm3ErS6 | GGA-PBE | relaxed

It has space group C2/m (No. 12), with a = 6.9300 Å, b = 12.0171 Å, c = 6.9341 Å, α = 90.00°, β = 109.58° and γ = 90.00°. Symmetry generates all atoms from Ce at (0.0000, 0.1661, 0.0000), Pm at (0.0000, 0.0000, 0.5000), Pm at (0.0000, 0.3320, 0.5000), Er at (0.0000, 0.5000, 0.0000), S at (0.2439, 0.3370, 0.2437) and S at (0.2436, 0.5000, 0.7544).

The calculation puts the uncorrected formation energy at -2.028 eV per atom. As for the calculated volume: 22.669 A^3/atom.

---

Ce2MnRh | GGA-PBE | relaxed

It has space group P4/mmm (No. 123), with a = 4.8809 Å, b = 4.8809 Å, c = 3.5070 Å, α = 90.00°, β = 90.00° and γ = 90.00°. Symmetry generates all atoms from Ce at (0.0000, 0.5000, 0.0000), Mn at (0.0000, 0.0000, 0.5000) and Rh at (0.5000, 0.5000, 0.5000).

As for the calculated volume: 20.886 A^3/atom. For the calculated formation energy, the calculation gives -69 kJ/mol of formula units.

---

ZnMoRu | GGA-PBE | relaxed

It has space group P3m1 (No. 156), with a = 2.7894 Å, b = 2.7894 Å, c = 6.6291 Å, α = 90.00°, β = 90.00° and γ = 120.00°. Symmetry generates all atoms from Zn at (0.0000, 0.0000, 0.0000), Mo at (0.6667, 0.3333, 0.3521) and Ru at (0.3333, 0.6667, 0.6661).

As for the energy above the lowest structure with this stoichiometry: 0.058 eV/atom. As for the calculated volume: 14.890 A^3/atom. For the calculated formation energy, the calculation gives 12 kJ/mol of formula units.

---

Ta2TeOs | GGA-PBE | relaxed

It has space group Cm (No. 8), with a = 9.6744 Å, b = 3.2472 Å, c = 4.9146 Å, α = 90.00°, β = 107.41° and γ = 90.00°. Symmetry generates all atoms from Ta at (0.0000, 0.0000, 0.0000), Ta at (0.2123, 0.0000, 0.6415), Te at (0.4629, 0.0000, 0.4735) and Os at (0.2180, 0.5000, 0.1267).

The calculation puts the uncorrected formation energy at 0.189 eV per atom. As for the calculated volume: 18.415 A^3/atom.

---

PuTaGe2 | GGA-PBE | relaxed

It has space group P4/mmm (No. 123), with a = 3.4963 Å, b = 3.4963 Å, c = 6.3079 Å, α = 90.00°, β = 90.00° and γ = 90.00°. Symmetry generates all atoms from Pu at (0.0000, 0.0000, 0.0000), Ta at (0.0000, 0.0000, 0.5000) and Ge at (0.5000, 0.5000, 0.2928).

As for the energy above the lowest structure with this stoichiometry: 0.000 eV/atom. As for the calculated volume: 19.278 A^3/atom. For the calculated formation energy, the calculation gives -91 kJ/mol of formula units.

---

TiNbB2 | GGA-PBE | relaxed

It has space group Amm2 (No. 38), with a = 3.1104 Å, b = 3.2941 Å, c = 8.6721 Å, α = 90.00°, β = 90.00° and γ = 90.00°. Symmetry generates all atoms from Ti at (0.0000, 0.0000, 0.0000), Nb at (0.5000, 0.0000, 0.7099), B at (0.0000, 0.0000, 0.2996) and B at (0.5000, 0.0000, 0.4146).

As for the energy above the lowest structure with this stoichiometry: 0.000 eV/atom. As for the calculated volume: 11.107 A^3/atom. For the calculated formation energy, the calculation gives -316 kJ/mol of formula units.

---

EuTlBiPd | GGA-PBE | relaxed

It has space group F-43m (No. 216), with a = 7.4050 Å, b = 7.4050 Å, c = 7.4050 Å, α = 90.00°, β = 90.00° and γ = 90.00°. Symmetry generates all atoms from Eu at (0.0000, 0.0000, 0.0000), Tl at (0.2500, 0.2500, 0.7500), Bi at (0.2500, 0.2500, 0.2500) and Pd at (0.0000, 0.0000, 0.5000).

As for the calculated volume: 25.378 A^3/atom. For the calculated formation energy, the calculation gives -158 kJ/mol of formula units.

---

Rb2InC | GGA-PBE | relaxed

It has space group Fm-3m (No. 225), with a = 8.3549 Å, b = 8.3549 Å, c = 8.3549 Å, α = 90.00°, β = 90.00° and γ = 90.00°. Symmetry generates all atoms from Rb at (0.2500, 0.2500, 0.2500), In at (0.0000, 0.0000, 0.0000) and C at (0.0000, 0.0000, 0.5000).

As for the energy above the lowest structure with this stoichiometry: 0.618 eV/atom. As for the calculated volume: 36.450 A^3/atom. For the calculated formation energy, the calculation gives 544 kJ/mol of formula units.

---

TaCuMo2 | GGA-PBE | relaxed

It has space group I-42d (No. 122), with a = 7.1478 Å, b = 7.1478 Å, c = 5.2222 Å, α = 90.00°, β = 90.00° and γ = 90.00°. Symmetry generates all atoms from Ta at (0.0000, 0.0000, 0.0000), Cu at (0.0000, 0.0000, 0.5000) and Mo at (0.2283, 0.2500, 0.6250).

As for the energy above the lowest structure with this stoichiometry: 0.671 eV/atom. As for the calculated volume: 16.675 A^3/atom. For the calculated formation energy, the calculation gives 286 kJ/mol of formula units.

---

CeSmPO2 | GGA-PBE | relaxed

It has space group I4mm (No. 107), with a = 3.8320 Å, b = 3.8320 Å, c = 12.2289 Å, α = 90.00°, β = 90.00° and γ = 90.00°. Symmetry generates all atoms from Ce at (0.0000, 0.0000, 0.0000), Sm at (0.0000, 0.0000, 0.2940), P at (0.0000, 0.0000, 0.6433) and O at (0.0000, 0.5000, 0.4004).

The calculation puts the uncorrected formation energy at -2.647 eV per atom. As for the calculated volume: 17.957 A^3/atom.